[1]
# LiCa6Mg5

A geometry-optimized LiCa6Mg5 structure (PBE, Alexandria).

Values from the calculation:
The space group is P2/m (10). The formation energy comes out at -0.07 eV/atom. For the volume, the calculation gives 31.2 Å³ per atom. For the spin magnetization, the calculation gives 0.000 Bohr magnetons per cell. Its total energy is -1.893 eV/atom.

Cell lengths 5.665, 7.823, 8.900 Å; angles 90.00, 71.65, 90.00 degrees
Sites, in units of the cell vectors:
Mg1 0.334 0.500 0.333
Mg2 0.667 0.000 0.663
Mg3 0.666 0.500 0.667
Mg4 0.000 0.500 0.000
Mg5 0.333 0.000 0.337
Ca1 0.835 0.750 0.332
Ca2 0.500 0.249 0.000
Ca3 0.835 0.250 0.332
Ca4 0.165 0.750 0.668
Ca5 0.165 0.250 0.668
Ca6 0.500 0.751 0.000
Li1 0.000 0.000 0.000


[2]
# LiCa3Mg

A geometry-optimized LiCa3Mg structure (PBE, Alexandria).

Values from the calculation:
The space group is Pm-3m (221). The formation energy comes out at 0.30 eV/atom. For the volume, the calculation gives 38.2 Å³ per atom. For the spin magnetization, the calculation gives 0.000 Bohr magnetons per cell. The value obtained for the relative energy among the computed polymorphs is 1.63 eV per formula unit. Its total energy is -1.600 eV/atom.

Cell lengths 5.761, 5.761, 5.761 Å; angles 90.00, 90.00, 90.00 degrees
Sites, in units of the cell vectors:
Ca1 0.000 0.000 0.500
Ca2 0.500 0.000 0.000
Ca3 0.000 0.500 0.000
Li1 0.000 0.000 0.000
Mg1 0.500 0.500 0.500


[3]
# Li2Ca3Mg3

A geometry-optimized Li2Ca3Mg3 structure (PBE, Alexandria).

Values from the calculation:
The space group is Pmmm (47). The formation energy comes out at -0.01 eV/atom. For the volume, the calculation gives 28.8 Å³ per atom. For the spin magnetization, the calculation gives 0.000 Bohr magnetons per cell. The value obtained for the relative energy among the computed polymorphs is 0.00 eV per formula unit. Its total energy is -1.842 eV/atom.

Cell lengths 5.513, 5.414, 7.709 Å; angles 90.00, 90.00, 90.00 degrees
Sites, in units of the cell vectors:
Ca1 0.000 0.500 0.500
Ca2 0.500 0.000 0.500
Ca3 0.000 0.500 0.000
Mg1 0.500 0.500 0.770
Mg2 0.500 0.000 0.000
Mg3 0.500 0.500 0.230
Li1 0.000 0.000 0.229
Li2 0.000 0.000 0.771


> The lowest formation energy belongs to which entry?

LiCa6Mg5


> Look up the spin magnetization of the third one.

0.000 Bohr magnetons per cell